Computed, not measured: a relaxed structure of Np3Au at the PBE level of DFT.

CIF file:
```
data_Np3Au
_chemical_formula_sum 'Np12 Au4'
_cell_length_a 6.798
_cell_length_b 6.798
_cell_length_c 6.798
_cell_angle_alpha 90.00
_cell_angle_beta 90.00
_cell_angle_gamma 90.00
_symmetry_space_group_name_H-M 'F m -3 m'
_symmetry_Int_Tables_number 225
_symmetry_space_group_name_Hall '-F 4 2 3'
loop_
_atom_site_label
_atom_site_fract_x
_atom_site_fract_y
_atom_site_fract_z
Np1 0.000 0.000 0.000
Np2 0.250 0.250 0.250
Au1 0.000 0.000 0.500
```

Output
ΔE to the lowest computed polymorph, meV per atom: 54.7
Total moment, μB per formula unit: 2.81
Calculated volume, Å³ per cell: 314
Total DFT energy (no corrections), eV per atom: -10.16